Entry from Alexandria via LeMat-Bulk: a geometry-optimized LiCrW2 structure (GGA-PBE).

The structure in POSCAR format:
```
LiCrW2
1.0
4.2627 0.0000 0.0000
0.0000 2.6265 -0.0048
0.0000 0.7896 5.1091
Cr W Li
1 2 1
Cartesian
2.1314 0.8540 1.2761
0.0000 1.7345 2.5279
0.0000 2.6001 0.0195
2.1314 2.5621 3.8283
```

As for the volume: 57 Å³/cell. As for the space group: No. 10.



Entry from Alexandria via LeMat-Bulk: a geometry-optimized LiCr2W structure (GGA-PBE).

The structure in POSCAR format:
```
LiCr2W
1.0
4.2485 0.0000 0.0000
0.0000 2.5342 -0.0083
0.0000 0.7033 4.8547
W Cr Li
1 2 1
Cartesian
2.1242 2.4281 3.6348
0.0000 1.5786 2.4361
0.0000 0.7434 4.8418
2.1242 0.8094 1.2116
```

As for the volume: 52 Å³/cell. As for the space group: No. 10.



| no. | D(E_F) (states/eV/cell) | offset from the most stable computed form (meV/atom) | formation energy (eV per atom) |
| --- | --- | --- | --- |
| 1 | 3.6 | 68 | 0.401 |
| 2 | 4.0 | 89 | 0.427 |